(1)
A plane-wave DFT calculation with PBE was carried out for a geometry-optimized ScCoRu2 structure.

For the mass density, the calculation gives 8.60 Mg/m³. The formation enthalpy at 0 K is -19 meV/atom.

a b c (Å): 3.0904 3.0904 6.1848
angles (deg): 90.00 90.00 90.00
Site moments in Bohr magnetons follow the coordinates.
Element x y z (fractional)
1 Co 0.5000 0.5000 0.7500  1.94
2 Ru 0.0000 0.0000 0.9748  0.63
3 Ru 0.0000 0.0000 0.5252  0.63
4 Sc 0.5000 0.5000 0.2500  -0.01

---

(2)
A plane-wave DFT calculation with PBE was carried out for a geometry-optimized Ti2MnIrI structure.

For the mass density, the calculation gives 7.16 Mg/m³. The formation energy from raw total energies is 1.42 eV per atom.

a b c (Å): 4.8610 4.6137 4.8610
angles (deg): 90.00 90.00 90.00
Site moments in Bohr magnetons follow the coordinates.
Element x y z (fractional)
1 I 0.0000 0.0000 0.0000  -0.01
2 Ir 0.5000 0.5000 0.5000  0.20
3 Mn 0.0000 0.5000 0.0000  3.20
4 Ti 0.0000 0.0000 0.5000  -0.20
5 Ti 0.5000 0.0000 0.0000  -0.18

---

(3)
A plane-wave DFT calculation with PBE was carried out for a geometry-optimized Er4C3F structure.

For the mass density, the calculation gives 9.49 Mg/m³. The formation energy from raw total energies is -0.94 eV per atom.

a b c (Å): 3.5534 6.1454 6.1455
angles (deg): 70.69 90.00 90.00
Element x y z (fractional)
1 C 0.5000 0.0001 0.5000
2 C 0.0000 0.0002 0.0000
3 C 0.0000 0.5001 0.4999
4 F 0.5001 0.5003 0.9998
5 Er 0.9999 0.7715 0.7286
6 Er 0.5000 0.7564 0.2563
7 Er 0.9999 0.2286 0.2715
8 Er 0.4999 0.2438 0.7437